# PBE Al2AgBiAs, optimized geometry
# Crystal system   tetragonal
# Calculated total energy   -3.207 eV/atom
# Density   5449 kg/m3
# Space-group type   P4/mmm, No. 123
# ΔH_f (0 K)   567 meV/atom
data_Al2AgBiAs
_chemical_formula_sum 'Al2 Ag1 Bi1 As1'
_space_group_name_H-M_alt 'P 1'
_space_group_IT_number 1
_cell_length_a 4.8561
_cell_length_b 4.8561
_cell_length_c 5.7604
_cell_angle_alpha 90.00
_cell_angle_beta 90.00
_cell_angle_gamma 90.00
loop_
_space_group_symop_operation_xyz
'x,y,z'
loop_
_atom_site_label
_atom_site_fract_x
_atom_site_fract_y
_atom_site_fract_z
_atom_site_occupancy
Al1 0.0000 0.5000 0.0000 1
Al2 0.5000 0.0000 0.0000 1
Ag1 0.0000 0.0000 0.5000 1
Bi1 0.5000 0.5000 0.5000 1
As1 0.5000 0.5000 0.0000 1